# SrBP2S (PBE, optimized geometry)
# Energy above the lowest structure with this stoichiometry (meV/atom): 0
# Formation energy (no corrections) (eV per atom): 0.058
# Mass density (kg/m3): 3253
data_SrBP2S
_chemical_formula_sum 'Sr1 B1 P2 S1'
_symmetry_space_group_name_H-M 'P 4/m m m'
_symmetry_Int_Tables_number 123
_symmetry_space_group_name_Hall '-P 4 2'
_cell_length_a 4.0743
_cell_length_b 4.0743
_cell_length_c 5.9184
_cell_angle_alpha 90.00
_cell_angle_beta 90.00
_cell_angle_gamma 90.00
loop_
_atom_site_label
_atom_site_type_symbol
_atom_site_fract_x
_atom_site_fract_y
_atom_site_fract_z
Sr1 Sr 0.0000 0.0000 0.0000
B1 B 0.5000 0.5000 0.5000
P1 P 0.0000 0.5000 0.5000
S1 S 0.5000 0.5000 0.0000